(1)
Computed, not measured: an optimized crystal structure of GaAgP3 at the PBE-GGA level of DFT.

a = 4.7025 Å, b = 4.7025 Å, c = 4.7025 Å
α = 90.00°, β = 90.00°, γ = 90.00°
Last column: nearest neighbours and their distance in Å.
Fractional positions:
P1 0.0000 0.0000 0.5000  2 Ga 2.35
P2 0.5000 0.0000 0.0000  2 Ga 2.35
P3 0.0000 0.5000 0.0000  2 Ga 2.35
Ga1 0.0000 0.0000 0.0000  6 P 2.35
Ag1 0.5000 0.5000 0.5000  12 P 3.33

Results
Spin magnetization (μB per formula unit): 0.000
Space group: Pm-3m (221)
E_form (eV per atom): 1.013
ΔE to the lowest computed polymorph (meV per atom): 0
Theoretical density (g/cm3): 4.3


(2)
Computed, not measured: an optimized crystal structure of GaAg2P2 at the PBE-GGA level of DFT.

a = 8.0324 Å, b = 8.0324 Å, c = 2.7938 Å
α = 90.00°, β = 90.00°, γ = 90.00°
Last column: nearest neighbours and their distance in Å.
Fractional positions:
Ga1 0.5000 0.5000 0.0000  2 Ga 2.79, 4 P 3.01
Ga2 0.0000 0.0000 0.0000  2 Ga 2.79, 4 P 3.01
P1 0.8377 0.6623 0.0000  6 Ag 2.66-2.80, 2 P 2.79
P2 0.6623 0.1623 0.0000  6 Ag 2.66-2.80, 2 P 2.79
P3 0.1623 0.3377 0.0000  6 Ag 2.66-2.80, 2 P 2.79
P4 0.3377 0.8377 0.0000  6 Ag 2.66-2.80, 2 P 2.79
Ag1 0.6384 0.8616 0.5000  6 P 2.66-2.80, 2 Ag 2.79
Ag2 0.8616 0.3616 0.5000  6 P 2.66-2.80, 2 Ag 2.79
Ag3 0.1384 0.6384 0.5000  6 P 2.66-2.80, 2 Ag 2.79
Ag4 0.3616 0.1384 0.5000  6 P 2.66-2.80, 2 Ag 2.79

Results
Spin magnetization (μB per formula unit): 0.000
Space group: P4/mbm (127)
E_form (eV per atom): 0.318
ΔE to the lowest computed polymorph (meV per atom): 55
Theoretical density (g/cm3): 6.4


(3)
Computed, not measured: an optimized crystal structure of Ga2AgP2 at the PBE-GGA level of DFT.

a = 7.3789 Å, b = 7.3789 Å, c = 3.7513 Å
α = 90.00°, β = 90.00°, γ = 90.00°
Last column: nearest neighbours and their distance in Å.
Fractional positions:
Ag1 0.5000 0.5000 0.0000  4 P 2.61
Ag2 0.0000 0.0000 0.0000  4 P 2.61
P1 0.2558 0.7558 0.0000  2 Ga 2.35, 2 Ag 2.61
P2 0.2442 0.2558 0.0000  2 Ga 2.35, 2 Ag 2.61
P3 0.7442 0.2442 0.0000  2 Ga 2.35, 2 Ag 2.61
P4 0.7558 0.7442 0.0000  2 Ga 2.35, 2 Ag 2.61
Ga1 0.3802 0.1198 0.5000  2 P 2.35, 1 Ga 2.50
Ga2 0.8802 0.3802 0.5000  2 P 2.35, 1 Ga 2.50
Ga3 0.1198 0.6198 0.5000  2 P 2.35, 1 Ga 2.50
Ga4 0.6198 0.8802 0.5000  2 P 2.35, 1 Ga 2.50

Results
Spin magnetization (μB per formula unit): 0.000
Space group: P4/mbm (127)
E_form (eV per atom): 0.143
ΔE to the lowest computed polymorph (meV per atom): 0
Theoretical density (g/cm3): 5.0


(4)
Computed, not measured: an optimized crystal structure of GaAg2P at the PBE-GGA level of DFT.

a = 4.0887 Å, b = 4.0887 Å, c = 9.2890 Å
α = 77.29°, β = 77.29°, γ = 90.00°
Last column: nearest neighbours and their distance in Å.
Fractional positions:
Ag1 0.3750 0.3809 0.7500  2 P 2.63, 2 Ga 2.65, 4 Ag 2.86-2.93
Ag2 0.6191 0.1250 0.2500  2 P 2.63, 2 Ga 2.65, 4 Ag 2.86-2.93
Ag3 0.1309 0.6250 0.2500  2 P 2.63, 2 Ga 2.65, 4 Ag 2.86-2.93
Ag4 0.8750 0.8691 0.7500  2 P 2.63, 2 Ga 2.65, 4 Ag 2.86-2.93
Ga1 0.0000 0.0000 0.0000  4 Ag 2.65, 4 P 2.89
Ga2 0.7500 0.2500 0.5000  4 Ag 2.65, 4 P 2.89
P1 0.5000 0.5000 0.0000  4 Ag 2.63, 4 Ga 2.89
P2 0.2500 0.7500 0.5000  4 Ag 2.63, 4 Ga 2.89

Results
Spin magnetization (μB per formula unit): 0.000
Space group: I-42d (122)
E_form (eV per atom): 0.193
ΔE to the lowest computed polymorph (meV per atom): 0
Theoretical density (g/cm3): 7.1


(5)
Computed, not measured: an optimized crystal structure of Ga3AgP at the PBE-GGA level of DFT.

a = 4.8169 Å, b = 4.8169 Å, c = 4.8169 Å
α = 90.00°, β = 90.00°, γ = 90.00°
Last column: nearest neighbours and their distance in Å.
Fractional positions:
Ga1 0.5000 0.0000 0.0000  2 P 2.41
Ga2 0.0000 0.0000 0.5000  2 P 2.41
Ga3 0.0000 0.5000 0.0000  2 P 2.41
P1 0.0000 0.0000 0.0000  6 Ga 2.41
Ag1 0.5000 0.5000 0.5000  12 Ga 3.41

Results
Spin magnetization (μB per formula unit): 0.000
Space group: Pm-3m (221)
E_form (eV per atom): 0.374
ΔE to the lowest computed polymorph (meV per atom): 0
Theoretical density (g/cm3): 5.2


(6)
Computed, not measured: an optimized crystal structure of GaAg2P2 at the PBE-GGA level of DFT.

a = 3.2753 Å, b = 3.2753 Å, c = 8.6681 Å
α = 79.11°, β = 79.11°, γ = 90.00°
Last column: nearest neighbours and their distance in Å.
Fractional positions:
P1 0.2500 0.7500 0.5000  4 P 2.32
P2 0.7500 0.2500 0.5000  4 P 2.32
Ag1 0.5982 0.5982 0.8036  4 Ga 2.84, 4 P 3.02
Ag2 0.4018 0.4018 0.1964  4 Ga 2.84, 4 P 3.02
Ga1 0.0000 0.0000 0.0000  8 Ag 2.84

Results
Spin magnetization (μB per formula unit): 0.000
Space group: I4/mmm (139)
E_form (eV per atom): 0.263
ΔE to the lowest computed polymorph (meV per atom): 0
Theoretical density (g/cm3): 6.4


(7)
Computed, not measured: an optimized crystal structure of GaAgP at the PBE-GGA level of DFT.

a = 6.8435 Å, b = 3.1539 Å, c = 11.6488 Å
α = 90.00°, β = 97.64°, γ = 90.00°
Last column: nearest neighbours and their distance in Å.
Fractional positions:
P1 0.5034 0.5000 0.6764  2 P 2.18, 1 Ga 2.41
P2 0.5034 0.0000 0.1764  2 P 2.18, 1 Ga 2.41
P3 0.6618 0.0000 0.5985  2 P 2.18, 1 Ga 2.41
P4 0.6618 0.5000 0.0985  2 P 2.18, 1 Ga 2.41
Ga1 0.1763 0.0000 0.0695  1 P 2.41, 2 Ag 2.66, 2 Ga 2.66
Ga2 0.9901 0.5000 0.2036  1 P 2.41, 2 Ag 2.66, 2 Ga 2.66
Ga3 0.1763 0.5000 0.5695  1 P 2.41, 2 Ag 2.66, 2 Ga 2.66
Ga4 0.9901 0.0000 0.7036  1 P 2.41, 2 Ag 2.66, 2 Ga 2.66
Ag1 0.0856 0.0000 0.3864  4 Ga 2.66
Ag2 0.0856 0.5000 0.8864  4 Ga 2.66
Ag3 0.5802 0.5000 0.8875  2 P 2.45
Ag4 0.5802 0.0000 0.3875  2 P 2.45

Results
Spin magnetization (μB per formula unit): 0.000
Space group: Cm (8)
E_form (eV per atom): 0.016
ΔE to the lowest computed polymorph (meV per atom): 4
Theoretical density (g/cm3): 5.6


(8)
Computed, not measured: an optimized crystal structure of Ga2AgP2 at the PBE-GGA level of DFT.

a = 4.8078 Å, b = 4.8078 Å, c = 5.2753 Å
α = 62.89°, β = 62.89°, γ = 90.00°
Last column: nearest neighbours and their distance in Å.
Fractional positions:
Ag1 0.0000 0.0000 0.0000  2 Ga 2.78
Ga1 0.3443 0.3443 0.3114  1 Ga 2.51, 4 P 2.52, 1 Ag 2.78
Ga2 0.6557 0.6557 0.6886  1 Ga 2.51, 4 P 2.52, 1 Ag 2.78
P1 0.7500 0.2500 0.5000  4 Ga 2.52
P2 0.2500 0.7500 0.5000  4 Ga 2.52

Results
Spin magnetization (μB per formula unit): 0.000
Space group: I4/mmm (139)
E_form (eV per atom): 0.254
ΔE to the lowest computed polymorph (meV per atom): 111
Theoretical density (g/cm3): 5.5


(9)
Computed, not measured: an optimized crystal structure of GaAgP at the PBE-GGA level of DFT.

a = 3.9245 Å, b = 3.8550 Å, c = 10.4095 Å
α = 99.94°, β = 90.00°, γ = 120.60°
Last column: nearest neighbours and their distance in Å.
Fractional positions:
Ag1 0.3049 0.6099 0.4170  1 P 2.53, 3 Ag 2.81
Ag2 0.6951 0.3901 0.5830  1 P 2.53, 3 Ag 2.81
Ga1 0.1410 0.2820 0.8988  3 P 2.34
Ga2 0.8590 0.7180 0.1012  3 P 2.34
P1 0.2173 0.4346 0.1689  3 Ga 2.34, 1 Ag 2.53
P2 0.7827 0.5654 0.8311  3 Ga 2.34, 1 Ag 2.53

Results
Spin magnetization (μB per formula unit): 0.000
Space group: C2/m (12)
E_form (eV per atom): 0.070
ΔE to the lowest computed polymorph (meV per atom): 59
Theoretical density (g/cm3): 5.2


(10)
Computed, not measured: an optimized crystal structure of GaAg2P at the PBE-GGA level of DFT.

a = 4.6471 Å, b = 4.6471 Å, c = 4.6471 Å
α = 60.00°, β = 60.00°, γ = 60.00°
Last column: nearest neighbours and their distance in Å.
Fractional positions:
Ga1 0.5000 0.5000 0.5000  8 Ag 2.85
Ag1 0.2500 0.2500 0.2500  4 Ga 2.85, 4 P 2.85
Ag2 0.7500 0.7500 0.7500  4 Ga 2.85, 4 P 2.85
P1 0.0000 0.0000 0.0000  8 Ag 2.85

Results
Spin magnetization (μB per formula unit): 0.000
Space group: Fm-3m (225)
E_form (eV per atom): 0.237
ΔE to the lowest computed polymorph (meV per atom): 44
Theoretical density (g/cm3): 7.4


(11)
Computed, not measured: an optimized crystal structure of GaAg2PPt at the PBE-GGA level of DFT.

a = 4.7890 Å, b = 4.6471 Å, c = 4.7890 Å
α = 90.00°, β = 90.00°, γ = 90.00°
Last column: nearest neighbours and their distance in Å.
Fractional positions:
P1 0.5000 0.5000 0.5000  8 Ag 3.34, 4 Pt 3.39
Ga1 0.0000 0.0000 0.0000  2 Pt 2.32, 4 Ag 2.39
Ag1 0.5000 0.0000 0.0000  2 Ga 2.39
Ag2 0.0000 0.0000 0.5000  2 Ga 2.39
Pt1 0.0000 0.5000 0.0000  2 Ga 2.32

Results
Spin magnetization (μB per formula unit): 0.000
Space group: P4/mmm (123)
E_form (eV per atom): 0.750
Theoretical density (g/cm3): 8.0


(12)
Computed, not measured: an optimized crystal structure of Rb2GaAgP at the PBE-GGA level of DFT.

a = 6.2994 Å, b = 4.9812 Å, c = 6.2994 Å
α = 90.00°, β = 90.00°, γ = 90.00°
Last column: nearest neighbours and their distance in Å.
Fractional positions:
Ag1 0.0000 0.0000 0.0000  2 Ga 2.49
Rb1 0.5000 0.0000 0.0000  2 Ag 3.15
Rb2 0.0000 0.0000 0.5000  2 Ag 3.15
P1 0.5000 0.5000 0.5000  8 Rb 4.02, 4 Ga 4.45
Ga1 0.0000 0.5000 0.0000  2 Ag 2.49

Results
Spin magnetization (μB per formula unit): 0.895
Space group: P4/mmm (123)
E_form (eV per atom): 0.404
Theoretical density (g/cm3): 3.2